Model w:
A geometry-optimized CsCaAsBr2 structure. Source: Alexandria via LeMat-Bulk, functional PBE.

Geometry as POSCAR:
```
CsCaAsBr2
1.0
-0.481 -5.059 -2.835
3.301 -2.578 4.040
-4.882 -1.304 3.156
Cs As Ca Br
1 1 1 2
Direct
0.500 0.500 0.500
0.000 0.000 0.500
0.000 0.000 0.000
0.000 0.500 0.000
0.500 0.000 0.000
```

Summary:
Crystal system   tetragonal
DOS(E_F)   0.1528 states/eV per atom

Model x:
A geometry-optimized CsCaAsBr2 structure. Source: Alexandria via LeMat-Bulk, functional PBE.

Geometry as POSCAR:
```
CsCaAsBr2
1.0
-2.416 5.780 0.795
-2.223 -0.116 -5.909
-5.069 -2.388 1.954
Cs As Ca Br
1 1 1 2
Direct
0.000 0.000 0.000
0.000 0.000 0.500
0.500 0.500 0.500
0.000 0.500 0.000
0.500 0.000 0.000
```

Summary:
Crystal system   tetragonal
DOS(E_F)   1.0922 states/eV per atom

Stability check: which of them is most stable? model w.

Model w:
A geometry-optimized CaAs2BrF structure. Source: Alexandria via LeMat-Bulk, functional PBE.

Geometry as POSCAR:
```
CaAs2BrF
1.0
4.354 0.000 0.000
0.000 4.354 0.000
0.000 0.000 6.061
As Ca Br F
2 1 1 1
Direct
0.000 0.500 0.000
0.500 0.000 0.000
0.500 0.500 0.500
0.000 0.000 0.500
0.000 0.000 0.000
```

Summary:
Crystal system   tetragonal
DOS(E_F)   0.6299 states/eV per atom

Model x:
A geometry-optimized CaAs2BrF structure. Source: Alexandria via LeMat-Bulk, functional PBE.

Geometry as POSCAR:
```
CaAs2BrF
1.0
5.642 0.000 0.000
0.000 5.642 0.000
0.000 0.000 5.391
As Ca Br F
2 1 1 1
Direct
0.000 0.500 0.000
0.500 0.000 0.000
0.000 0.000 0.000
0.000 0.000 0.500
0.500 0.500 0.500
```

Summary:
Crystal system   tetragonal
DOS(E_F)   1.4839 states/eV per atom

Stability check: which of them is most stable? model w.

Model w:
A geometry-optimized CaFeAsBr2 structure. Source: Alexandria via LeMat-Bulk, functional PBE.

Geometry as POSCAR:
```
CaFeAsBr2
1.0
-3.041 -3.036 -3.285
4.473 -2.031 -2.263
0.040 -4.386 4.016
As Ca Fe Br
1 1 1 2
Direct
0.000 0.000 0.500
0.000 0.000 0.000
0.500 0.500 0.500
0.000 0.500 0.000
0.500 0.000 0.000
```

Summary:
Crystal system   tetragonal
DOS(E_F)   0.8764 states/eV per atom

Model x:
A geometry-optimized CaFeAsBr2 structure. Source: Alexandria via LeMat-Bulk, functional PBE.

Geometry as POSCAR:
```
CaFeAsBr2
1.0
-4.195 -2.224 -1.875
0.060 -3.356 3.847
-2.743 2.961 2.626
As Ca Fe Br
1 1 1 2
Direct
0.000 0.000 0.500
0.500 0.500 0.500
0.000 0.000 0.000
0.000 0.500 0.000
0.500 0.000 0.000
```

Summary:
Crystal system   tetragonal
DOS(E_F)   1.0027 states/eV per atom

Stability check: which of them is most stable? model x.

Model w:
A geometry-optimized CaFeAs2Br structure. Source: Alexandria via LeMat-Bulk, functional PBE.

Geometry as POSCAR:
```
CaFeAs2Br
1.0
-0.156 0.149 -5.479
-3.096 -4.526 -0.035
-4.410 3.016 0.207
As Ca Fe Br
2 1 1 1
Direct
0.000 0.500 0.000
0.500 0.000 0.000
0.000 0.000 0.000
0.500 0.500 0.500
0.000 0.000 0.500
```

Summary:
Crystal system   tetragonal
DOS(E_F)   1.6361 states/eV per atom

Model x:
A geometry-optimized CaFeAs2Br structure. Source: Alexandria via LeMat-Bulk, functional PBE.

Geometry as POSCAR:
```
CaFeAs2Br
1.0
-4.490 0.132 -0.395
-0.374 -3.163 3.191
-0.228 3.989 3.927
As Ca Fe Br
2 1 1 1
Direct
0.000 0.500 0.000
0.500 0.000 0.000
0.500 0.500 0.500
0.000 0.000 0.000
0.000 0.000 0.500
```

Summary:
Crystal system   tetragonal
DOS(E_F)   0.7490 states/eV per atom

Stability check: which of them is most stable? model x.

Model w:
A geometry-optimized CaGaAsBr2 structure. Source: Alexandria via LeMat-Bulk, functional PBE.

Geometry as POSCAR:
```
CaGaAsBr2
1.0
5.263 0.000 0.000
0.000 5.263 0.000
0.000 0.000 5.072
As Ca Ga Br
1 1 1 2
Direct
0.000 0.000 0.500
0.500 0.500 0.500
0.000 0.000 0.000
0.000 0.500 0.000
0.500 0.000 0.000
```

Summary:
Crystal system   tetragonal
DOS(E_F)   0.9861 states/eV per atom

Model x:
A geometry-optimized CaGaAsBr2 structure. Source: Alexandria via LeMat-Bulk, functional PBE.

Geometry as POSCAR:
```
CaGaAsBr2
1.0
5.621 0.000 0.000
0.000 5.621 0.000
0.000 0.000 5.900
As Ca Ga Br
1 1 1 2
Direct
0.000 0.000 0.500
0.000 0.000 0.000
0.500 0.500 0.500
0.000 0.500 0.000
0.500 0.000 0.000
```

Summary:
Crystal system   tetragonal
DOS(E_F)   0.3669 states/eV per atom

Stability check: which of them is most stable? model w.

Model w:
A geometry-optimized CaAsHBr2 structure. Source: Alexandria via LeMat-Bulk, functional PBE.

Geometry as POSCAR:
```
CaAsHBr2
1.0
5.621 0.000 0.000
0.000 5.621 0.000
0.000 0.000 6.690
H As Ca Br
1 1 1 2
Direct
0.500 0.500 0.500
0.000 0.000 0.500
0.000 0.000 0.000
0.000 0.500 0.000
0.500 0.000 0.000
```

Summary:
Crystal system   tetragonal
DOS(E_F)   0.0627 states/eV per atom

Model x:
A geometry-optimized CaAsHBr2 structure. Source: Alexandria via LeMat-Bulk, functional PBE.

Geometry as POSCAR:
```
CaAsHBr2
1.0
5.260 0.000 0.000
0.000 5.260 0.000
0.000 0.000 3.766
H As Ca Br
1 1 1 2
Direct
0.000 0.000 0.000
0.000 0.000 0.500
0.500 0.500 0.500
0.000 0.500 0.000
0.500 0.000 0.000
```

Summary:
Crystal system   tetragonal
DOS(E_F)   0.5299 states/eV per atom

Stability check: which of them is most stable? model x.

Model w:
A geometry-optimized CaInAs2Br structure. Source: Alexandria via LeMat-Bulk, functional PBE.

Geometry as POSCAR:
```
CaInAs2Br
1.0
-0.542 -5.376 -1.501
5.518 -0.289 -0.960
0.844 -1.571 5.323
As Ca Br In
2 1 1 1
Direct
0.000 0.500 0.000
0.500 0.000 0.000
0.000 0.000 0.000
0.000 0.000 0.500
0.500 0.500 0.500
```

Summary:
Crystal system   tetragonal
DOS(E_F)   0.6806 states/eV per atom

Model x:
A geometry-optimized CaInAs2Br structure. Source: Alexandria via LeMat-Bulk, functional PBE.

Geometry as POSCAR:
```
CaInAs2Br
1.0
-5.073 -0.772 -0.547
0.898 -2.994 -4.107
0.331 -4.598 3.424
As Ca Br In
2 1 1 1
Direct
0.000 0.500 0.000
0.500 0.000 0.000
0.500 0.500 0.500
0.000 0.000 0.500
0.000 0.000 0.000
```

Summary:
Crystal system   tetragonal
DOS(E_F)   0.6304 states/eV per atom

Stability check: which of them is most stable? model x.

Model w:
A geometry-optimized CaAsIrBr2 structure. Source: Alexandria via LeMat-Bulk, functional PBE.

Geometry as POSCAR:
```
CaAsIrBr2
1.0
-1.227 5.176 0.058
-4.527 -1.045 -2.591
-2.223 -0.573 4.116
As Ir Ca Br
1 1 1 2
Direct
0.000 0.000 0.500
0.000 0.000 0.000
0.500 0.500 0.500
0.000 0.500 0.000
0.500 0.000 0.000
```

Summary:
Crystal system   tetragonal
DOS(E_F)   0.7588 states/eV per atom

Model x:
A geometry-optimized CaAsIrBr2 structure. Source: Alexandria via LeMat-Bulk, functional PBE.

Geometry as POSCAR:
```
CaAsIrBr2
1.0
-0.780 -5.122 1.348
5.287 -0.668 0.520
-0.380 1.624 5.951
As Ir Ca Br
1 1 1 2
Direct
0.000 0.000 0.500
0.500 0.500 0.500
0.000 0.000 0.000
0.000 0.500 0.000
0.500 0.000 0.000
```

Summary:
Crystal system   tetragonal
DOS(E_F)   1.9648 states/eV per atom

Stability check: which of them is most stable? model w.